# 1
Density functional theory data (PBE-GGA) for a relaxed structure of PaGa2O6F.

Values from the calculation:
Raw formation energy   -1.999 eV per atom
Total energy   -6.716 eV/atom

Cell lengths 5.2850, 7.5031, 7.5031 Å; angles 95.31, 78.60, 78.60 degrees
Element x y z (fractional)
O  0.6668  0.4114  0.2727
Pa  0.7500  0.7192  0.2808
O  0.5973  0.7607  0.0222
O  0.0973  0.0222  0.7607
F  0.2500  0.8876  0.1124
Pa  0.2500  0.2808  0.7192
O  0.9027  0.9778  0.2393
O  0.1668  0.2727  0.4114
O  0.8332  0.7273  0.5886
Ga  0.8631  0.2116  0.3607
O  0.3832  0.8101  0.4331
Ga  0.1369  0.7884  0.6393
O  0.3332  0.5886  0.7273
Ga  0.3631  0.3607  0.2116
O  0.8832  0.4331  0.8101
O  0.6168  0.1899  0.5669
F  0.7500  0.1124  0.8876
O  0.4027  0.2393  0.9778
Ga  0.6369  0.6393  0.7884
O  0.1168  0.5669  0.1899



# 2
Density functional theory data (PBE-GGA) for a relaxed structure of GaPbOF2.

Values from the calculation:
Raw formation energy   -1.664 eV per atom
Total energy   -4.751 eV/atom

Cell lengths 4.2978, 4.2978, 3.9973 Å; angles 90.00, 90.00, 90.00 degrees
Element x y z (fractional)
O  0.0000  0.0000  0.5000
F  0.0000  0.5000  0.0000
F  0.5000  0.0000  0.0000
Ga  0.0000  0.0000  0.0000
Pb  0.5000  0.5000  0.5000



# 3
Density functional theory data (PBE-GGA) for a relaxed structure of Ga2PbOF.

Values from the calculation:
Raw formation energy   -0.616 eV per atom
Total energy   -3.934 eV/atom

Cell lengths 4.1228, 5.7519, 4.1228 Å; angles 90.00, 90.00, 90.00 degrees
Element x y z (fractional)
Ga  0.0000  0.0000  0.5000
F  0.0000  0.5000  0.0000
Pb  0.5000  0.5000  0.5000
Ga  0.5000  0.0000  0.0000
O  0.0000  0.0000  0.0000